# 1
LuGaAg2 | the Open Quantum Materials Database | PBE | relaxed; total energy = -14.382 eV for the cell shown
1.0
-0.633 -3.523 3.176
0.633 0.844 4.667
-3.768 0.086 2.949
Ag Ga Lu
2 1 1
direct
0.000 0.000 0.000
0.750 0.750 0.750
0.500 0.500 0.500
0.250 0.250 0.250

# 2
LuGaAg | the Open Quantum Materials Database | PBE | relaxed; total energy = -10.065 eV for the cell shown
1.0
0.000 3.349 3.349
3.349 0.000 3.349
3.349 3.349 0.000
Ag Ga Lu
1 1 1
direct
0.250 0.250 0.250
0.750 0.750 0.750
0.000 0.000 0.000

# 3
LuMgGaAg | the Open Quantum Materials Database | PBE | relaxed; total energy = -12.748 eV for the cell shown
1.0
0.000 3.416 3.416
3.416 0.000 3.416
3.416 3.416 0.000
Ag Ga Lu Mg
1 1 1 1
direct
0.250 0.250 0.250
0.500 0.500 0.500
0.750 0.750 0.750
0.000 0.000 0.000

> Which of these has the lowest total energy?

LuGaAg2

Please write out number 2 again, unchanged.
LuGaAg | the Open Quantum Materials Database | PBE | relaxed; total energy = -10.065 eV for the cell shown
1.0
0.000 3.349 3.349
3.349 0.000 3.349
3.349 3.349 0.000
Ag Ga Lu
1 1 1
direct
0.250 0.250 0.250
0.750 0.750 0.750
0.000 0.000 0.000